Here is a geometry-optimized UCoSnRu structure from Alexandria. Energies are from PBE-GGA.

Lattice parameters (Å, degrees): 4.645 4.645 4.645 60.00 60.00 60.00
Last column: magnetic moment on the atom in μB.
Fractional coordinates of all 4 atoms:
Ru1 0.500 0.500 0.500  -0.22
U1 0.250 0.250 0.250  1.93
Sn1 0.750 0.750 0.750  0.00
Co1 0.000 0.000 0.000  -0.81

Computed properties:
- Total DFT energy (no corrections): -32.2 eV/f.u.
- SG: F-43m (216)
- Formation enthalpy at 0 K: -11.6 kJ per mole of atoms
- Magnetic moment: 1.060 Bohr magnetons per cell